# LiMn2O3F

An optimized crystal structure of LiMn2O3F (PBE+U, Alexandria via LeMat-Bulk).

Structure (POSCAR):
```
LiMn2O3F
1.0
5.4281 0.0000 0.0000
0.0000 6.0098 0.0000
-0.0257 0.0000 10.7871
Li Mn O F
4 8 12 4
Direct
0.1873 0.0000 0.2932
0.3110 0.9986 0.7936
0.6890 0.4986 0.2064
0.8127 0.5000 0.7068
0.0000 0.2500 0.5000
0.0000 0.7500 0.5000
0.0146 0.4984 0.9985
0.4854 0.5000 0.4985
0.5000 0.2484 0.0000
0.5000 0.7484 0.0000
0.5146 0.0000 0.5015
0.9854 0.9984 0.0015
0.1139 0.5001 0.5934
0.1746 0.2353 0.9176
0.1746 0.7616 0.9175
0.3246 0.2369 0.4176
0.3246 0.7632 0.4176
0.3869 0.4985 0.0933
0.6131 0.9985 0.9067
0.6754 0.2632 0.5824
0.6754 0.7369 0.5824
0.8254 0.2616 0.0825
0.8254 0.7353 0.0824
0.8861 0.0001 0.4066
0.1871 0.0000 0.6321
0.3135 0.9986 0.1323
0.6865 0.4986 0.8677
0.8129 0.5000 0.3679
```

Properties
As for the magnetic moment: 32.0 Bohr magnetons per cell. Its energy is -6.70 eV/atom. The energy above the most stable polymorph in this dataset comes out at 46 meV/atom.